{
  "formula": "PmSm10Tm6",
  "functional": "GGA-PBE",
  "state": "optimized geometry",
  "volume_a3_per_cell": 563,
  "crystal_system": "trigonal",
  "ef_mev_per_atom": 134,
  "lattice": [[6.845, 0.000, 0.000], [0.000, 8.437, -4.871], [0.000, 0.000, 9.742]],
  "species": ["Tm", "Pm", "Tm", "Sm", "Sm", "Sm", "Tm", "Sm", "Sm", "Sm", "Sm", "Sm", "Tm", "Sm", "Tm", "Tm", "Sm"],
  "frac_coords": [[0.311, 0.629, 0.629], [0.500, 0.000, 0.000], [0.311, 0.371, 0.000], [0.181, 0.000, 0.722], [0.819, 0.722, 0.722], [0.000, 0.667, 0.333], [0.311, 0.000, 0.371], [0.181, 0.722, 0.000], [0.181, 0.278, 0.278], [0.819, 0.000, 0.278], [0.500, 0.333, 0.667], [0.819, 0.278, 0.000], [0.689, 0.371, 0.371], [0.500, 0.667, 0.333], [0.689, 0.629, 0.000], [0.689, 0.000, 0.629], [0.000, 0.333, 0.667]]
}



{
  "formula": "PmY3B4O12",
  "functional": "GGA-PBE",
  "state": "optimized geometry",
  "e_form_raw_ev_per_atom": -3.061,
  "volume_a3_per_cell": 256,
  "crystal_system": "trigonal",
  "lattice": [[6.530, 0.091, 0.127], [-1.485, 6.359, 0.127], [-1.485, -1.899, 6.071]],
  "species": ["O", "Pm", "O", "Y", "O", "B", "O", "O", "O", "B", "O", "O", "O", "B", "B", "O", "Y", "Y", "O", "O"],
  "frac_coords": [[0.828, 0.028, 0.637], [0.000, 0.000, 0.000], [0.637, 0.828, 0.028], [0.000, 0.534, 0.466], [0.900, 0.500, 0.100], [0.965, 0.035, 0.500], [0.172, 0.363, 0.972], [0.363, 0.972, 0.172], [0.500, 0.364, 0.636], [0.500, 0.965, 0.035], [0.100, 0.900, 0.500], [0.972, 0.172, 0.363], [0.500, 0.100, 0.900], [0.500, 0.500, 0.500], [0.035, 0.500, 0.965], [0.364, 0.636, 0.500], [0.534, 0.466, 0.000], [0.466, 0.000, 0.534], [0.028, 0.637, 0.828], [0.636, 0.500, 0.364]]
}



{
  "formula": "CdSiBi2",
  "functional": "GGA-PBE",
  "state": "optimized geometry",
  "e_form_raw_ev_per_atom": 0.221,
  "volume_a3_per_cell": 280,
  "crystal_system": "tetragonal",
  "lattice": [[6.664, 0.000, 0.000], [0.000, 6.664, 0.000], [3.332, 3.332, 6.294]],
  "species": ["Bi", "Bi", "Cd", "Si", "Bi", "Si", "Bi", "Cd"],
  "frac_coords": [[0.375, 0.401, 0.750], [0.151, 0.625, 0.250], [0.750, 0.250, 0.500], [0.500, 0.500, 0.000], [0.875, 0.849, 0.750], [0.250, 0.750, 0.500], [0.599, 0.125, 0.250], [0.000, 0.000, 0.000]]
}



{
  "formula": "GaPtW2",
  "functional": "GGA-PBE",
  "state": "optimized geometry",
  "volume_a3_per_cell": 191,
  "crystal_system": "tetragonal",
  "ef_mev_per_atom": 1516,
  "lattice": [[5.689, 0.000, 0.000], [0.000, 5.689, 0.000], [2.845, 2.845, 5.896]],
  "species": ["Pt", "Pt", "Ga", "W", "W", "W", "W", "Ga"],
  "frac_coords": [[0.750, 0.250, 0.500], [0.000, 0.000, 0.000], [0.500, 0.500, 0.000], [0.375, 0.365, 0.750], [0.115, 0.625, 0.250], [0.875, 0.885, 0.750], [0.635, 0.125, 0.250], [0.250, 0.750, 0.500]]
}



{
  "formula": "ReBiTe2Os",
  "functional": "GGA-PBE",
  "state": "optimized geometry",
  "e_form_raw_ev_per_atom": 2.888,
  "volume_a3_per_cell": 174,
  "crystal_system": "tetragonal",
  "relative_energy_mev_per_atom": 318,
  "lattice": [[-3.345, -4.246, 2.033], [3.993, -3.320, -0.365], [1.595, 1.325, 5.391]],
  "species": ["Os", "Te", "Re", "Te", "Bi"],
  "frac_coords": [[0.500, 0.500, 0.500], [0.000, 0.000, 0.500], [0.000, 0.500, 0.000], [0.500, 0.000, 0.000], [0.000, 0.000, 0.000]]
}



{
  "formula": "Li3B4C4",
  "functional": "GGA-PBE",
  "state": "optimized geometry",
  "volume_a3_per_cell": 175,
  "crystal_system": "hexagonal",
  "relative_energy_mev_per_atom": 46,
  "ef_mev_per_atom": -195,
  "lattice": [[-2.150, 1.681, 0.207], [-0.276, -2.655, 0.606], [6.516, 5.170, 25.628]],
  "species": ["B", "B", "C", "C", "B", "C", "Li", "Li", "Li", "C", "C", "C", "B", "B", "B", "C", "C", "Li", "B", "B", "Li", "Li"],
  "frac_coords": [[0.333, 0.667, 0.188], [0.667, 0.333, 0.557], [0.333, 0.667, 0.318], [0.667, 0.333, 0.688], [0.333, 0.667, 0.424], [0.333, 0.667, 0.557], [0.000, 0.000, 0.622], [0.000, 0.000, 0.753], [0.000, 0.000, 0.884], [0.667, 0.333, 0.948], [0.667, 0.333, 0.188], [0.667, 0.333, 0.427], [0.667, 0.333, 0.055], [0.333, 0.667, 0.688], [0.667, 0.333, 0.818], [0.333, 0.667, 0.818], [0.333, 0.667, 0.057], [0.000, 0.000, 0.254], [0.333, 0.667, 0.951], [0.667, 0.333, 0.320], [0.000, 0.000, 0.491], [0.000, 0.000, 0.121]]
}



{
  "formula": "LaBi3Pt",
  "functional": "GGA-PBE",
  "state": "optimized geometry",
  "volume_a3_per_cell": 163,
  "crystal_system": "cubic",
  "relative_energy_mev_per_atom": 0,
  "ef_mev_per_atom": -165,
  "lattice": [[5.466, 0.000, 0.000], [0.000, 5.466, 0.000], [0.000, 0.000, 5.466]],
  "species": ["Bi", "La", "Bi", "Bi", "Pt"],
  "frac_coords": [[0.000, 0.000, 0.500], [0.500, 0.500, 0.500], [0.500, 0.000, 0.000], [0.000, 0.500, 0.000], [0.000, 0.000, 0.000]]
}



{
  "formula": "AlRu2Rh",
  "functional": "GGA-PBE",
  "state": "optimized geometry",
  "volume_a3_per_cell": 56,
  "crystal_system": "trigonal",
  "ef_mev_per_atom": -122,
  "lattice": [[8.725, -0.004, -0.002], [8.293, 2.713, -0.002], [8.293, 1.320, 2.370]],
  "species": ["Al", "Ru", "Rh", "Ru"],
  "frac_coords": [[0.250, 0.250, 0.250], [0.502, 0.502, 0.502], [0.750, 0.750, 0.750], [0.998, 0.998, 0.998]]
}



{
  "formula": "HoTlZn",
  "functional": "GGA-PBE",
  "state": "optimized geometry",
  "volume_a3_per_cell": 86,
  "crystal_system": "tetragonal",
  "ef_mev_per_atom": 284,
  "lattice": [[-0.705, 1.732, 2.717], [1.591, -2.232, 1.835], [6.304, 4.351, -3.140]],
  "species": ["Zn", "Tl", "Ho"],
  "frac_coords": [[0.954, 0.954, 0.909], [0.127, 0.127, 0.254], [0.769, 0.769, 0.538]]
}



{
  "formula": "YBe2Tc",
  "functional": "GGA-PBE",
  "state": "optimized geometry",
  "volume_a3_per_cell": 60,
  "crystal_system": "orthorhombic",
  "relative_energy_mev_per_atom": 70,
  "ef_mev_per_atom": -18,
  "lattice": [[-1.983, -1.802, 2.206], [1.286, -2.851, -1.173], [4.413, -1.191, 2.995]],
  "species": ["Be", "Be", "Tc", "Y"],
  "frac_coords": [[0.000, 0.156, 0.065], [0.500, 0.048, 0.279], [0.000, 0.503, 0.369], [0.500, 0.793, 0.787]]
}



{
  "formula": "Ba6Sr2InPd",
  "functional": "GGA-PBE",
  "state": "optimized geometry",
  "volume_a3_per_cell": 579,
  "crystal_system": "cubic",
  "ef_mev_per_atom": -131,
  "lattice": [[-7.951, -4.046, -2.809], [2.328, -7.788, 4.628], [-5.882, -3.629, 6.303]],
  "species": ["Pd", "Sr", "In", "Ba", "Ba", "Ba", "Ba", "Sr", "Ba", "Ba"],
  "frac_coords": [[0.000, 0.000, 0.000], [0.250, 0.750, 0.500], [0.500, 0.500, 0.000], [0.241, 0.759, 0.000], [0.759, 0.759, 0.481], [0.241, 0.241, 0.000], [0.241, 0.241, 0.519], [0.750, 0.250, 0.500], [0.759, 0.759, 0.000], [0.759, 0.241, 0.000]]
}



{
  "formula": "Li3Fe2",
  "functional": "GGA-PBE",
  "state": "optimized geometry",
  "volume_a3_per_cell": 135,
  "crystal_system": "orthorhombic",
  "ef_mev_per_atom": 297,
  "lattice": [[0.000, 4.595, 12.333], [1.193, 0.000, 12.333], [1.193, 4.595, 0.000]],
  "species": ["Fe", "Li", "Li", "Li", "Fe", "Li", "Fe", "Li", "Li", "Fe"],
  "frac_coords": [[0.048, 0.364, 0.940], [0.551, 0.746, 0.930], [0.773, 0.930, 0.746], [0.320, 0.477, 0.699], [0.310, 0.602, 0.202], [0.504, 0.699, 0.477], [0.648, 0.940, 0.364], [0.231, 0.269, 0.269], [0.981, 0.019, 0.019], [0.886, 0.202, 0.602]]
}



{
  "formula": "AgTeBr3",
  "functional": "GGA-PBE",
  "state": "optimized geometry",
  "e_form_raw_ev_per_atom": 0.133,
  "volume_a3_per_cell": 183,
  "crystal_system": "cubic",
  "relative_energy_mev_per_atom": 390,
  "lattice": [[-5.294, 0.915, 1.843], [-2.028, -1.475, -5.096], [-0.342, -5.408, 1.702]],
  "species": ["Ag", "Br", "Br", "Te", "Br"],
  "frac_coords": [[0.500, 0.500, 0.500], [0.500, 0.000, 0.000], [0.000, 0.500, 0.000], [0.000, 0.000, 0.000], [0.000, 0.000, 0.500]]
}



{
  "formula": "Be4Cu",
  "functional": "GGA-PBE",
  "state": "optimized geometry",
  "volume_a3_per_cell": 49,
  "crystal_system": "trigonal",
  "relative_energy_mev_per_atom": 340,
  "ef_mev_per_atom": 316,
  "lattice": [[1.171, -2.028, 0.000], [1.171, 2.028, 0.000], [0.000, 0.000, 10.311]],
  "species": ["Be", "Cu", "Be", "Be", "Be"],
  "frac_coords": [[0.667, 0.333, 0.585], [0.000, 0.000, 0.000], [0.333, 0.667, 0.186], [0.667, 0.333, 0.814], [0.333, 0.667, 0.415]]
}



{
  "formula": "ZnBRu2",
  "functional": "GGA-PBE",
  "state": "optimized geometry",
  "volume_a3_per_cell": 50,
  "crystal_system": "trigonal",
  "relative_energy_mev_per_atom": 89,
  "ef_mev_per_atom": -95,
  "lattice": [[-0.878, 1.918, 1.985], [0.418, -0.535, 2.816], [5.960, 3.583, 1.287]],
  "species": ["Ru", "B", "Ru", "Zn"],
  "frac_coords": [[0.270, 0.270, 0.191], [0.666, 0.666, 0.001], [0.064, 0.064, 0.809], [0.500, 0.500, 0.499]]
}



{
  "formula": "TaZn2Ir",
  "functional": "GGA-PBE",
  "state": "optimized geometry",
  "volume_a3_per_cell": 62,
  "crystal_system": "orthorhombic",
  "ef_mev_per_atom": 69,
  "lattice": [[2.766, -0.034, 0.000], [-1.080, 2.547, 0.000], [0.000, 0.000, 8.912]],
  "species": ["Ir", "Zn", "Zn", "Ta"],
  "frac_coords": [[0.500, 0.500, 0.250], [0.000, 0.000, 0.486], [0.000, 0.000, 0.014], [0.500, 0.500, 0.750]]
}



{
  "formula": "Co2HgRh2",
  "functional": "GGA-PBE",
  "state": "optimized geometry",
  "volume_a3_per_cell": 147,
  "crystal_system": "tetragonal",
  "relative_energy_mev_per_atom": 0,
  "ef_mev_per_atom": 226,
  "lattice": [[-2.757, -2.305, 6.280], [5.424, -4.745, 0.640], [1.518, 1.921, 1.372]],
  "species": ["Co", "Hg", "Co", "Rh", "Co", "Rh", "Co", "Rh", "Rh", "Hg"],
  "frac_coords": [[0.119, 0.381, 0.000], [0.500, 0.500, 0.000], [0.619, 0.119, 0.000], [0.670, 0.830, 0.500], [0.881, 0.619, 0.000], [0.830, 0.330, 0.500], [0.381, 0.881, 0.000], [0.170, 0.670, 0.500], [0.330, 0.170, 0.500], [0.000, 0.000, 0.000]]
}



{
  "formula": "LiTlRh2",
  "functional": "GGA-PBE",
  "state": "optimized geometry",
  "volume_a3_per_cell": 62,
  "crystal_system": "tetragonal",
  "ef_mev_per_atom": 31,
  "lattice": [[-2.522, -1.988, 0.243], [0.757, -1.308, -2.844], [3.466, -4.056, 2.789]],
  "species": ["Li", "Tl", "Rh", "Rh"],
  "frac_coords": [[0.500, 0.500, 0.750], [0.500, 0.500, 0.250], [0.000, 0.000, 0.525], [0.000, 0.000, 0.975]]
}



{
  "formula": "InAgP2",
  "functional": "GGA-PBE",
  "state": "optimized geometry",
  "volume_a3_per_cell": 85,
  "crystal_system": "tetragonal",
  "ef_mev_per_atom": 319,
  "lattice": [[-1.589, 3.131, -0.798], [-1.209, 0.248, 3.378], [5.481, 3.221, 1.725]],
  "species": ["P", "In", "Ag", "P"],
  "frac_coords": [[0.000, 0.000, 0.412], [0.500, 0.500, 0.750], [0.500, 0.500, 0.250], [0.000, 0.000, 0.088]]
}



{
  "formula": "KNb3Br",
  "functional": "GGA-PBE",
  "state": "optimized geometry",
  "e_form_raw_ev_per_atom": 1.461,
  "volume_a3_per_cell": 121,
  "crystal_system": "cubic",
  "relative_energy_mev_per_atom": 0,
  "lattice": [[4.947, 0.000, 0.000], [0.000, 4.947, 0.000], [0.000, 0.000, 4.947]],
  "species": ["Nb", "K", "Nb", "Nb", "Br"],
  "frac_coords": [[0.000, 0.500, 0.000], [0.500, 0.500, 0.500], [0.500, 0.000, 0.000], [0.000, 0.000, 0.500], [0.000, 0.000, 0.000]]
}